Entry 1:
Material: AgHg2Rh
Method: DFT, PBE
State: optimized geometry

Values from the calculation:
As for the formation energy: 0.70 eV/f.u. The calculation puts the calculated total energy at -20.22 eV for the cell shown. The value obtained for the spin magnetization is 0.00 μB/f.u.

Lattice parameters (Å, degrees): 4.1460 4.1460 8.6123 90.00 90.00 90.00
With the nearest neighbours (Å) after each atom.
Space group I-4m2 (No. 119)
Unique sites:
1 Ag 0.0000 0.0000 0.0000 x2  8 Hg 2.93-2.99, 4 Rh 2.99
2 Hg 0.0000 0.0000 0.5000 x2  4 Ag 2.93, 4 Hg 2.99, 4 Rh 2.99
3 Hg 0.0000 0.5000 0.7500 x2  4 Rh 2.93, 4 Hg 2.99, 4 Ag 2.99
4 Rh 0.0000 0.5000 0.2500 x2  8 Hg 2.93-2.99, 4 Ag 2.99


Entry 2:
Material: YPSe2
Method: DFT, PBE
State: optimized geometry

Values from the calculation:
For the formation energy from raw total energies, the calculation gives -458 meV per atom. The calculation puts the calculated total energy at -82.70 eV for the cell shown. The value obtained for the spin magnetization is 0.00 μB/f.u.

Lattice parameters (Å, degrees): 5.1355 5.1355 16.2994 90.00 90.00 90.00
With the nearest neighbours (Å) after each atom.
Space group I-42d (No. 122)
Unique sites:
1 Y 0.0000 0.0000 0.0000 x4  4 Se 2.82
2 P 0.0000 0.0000 0.5000 x4  4 Se 2.65
3 Se 0.2145 0.2500 0.6250 x8  2 P 2.65, 2 Y 2.82


Entry 3:
Material: Pm4GaOs
Method: DFT, PBE
State: optimized geometry

Values from the calculation:
As for the formation energy: -1.62 eV/f.u. The calculation puts the calculated total energy at -139.52 eV for the cell shown. The value obtained for the spin magnetization is 0.00 μB/f.u.

Lattice parameters (Å, degrees): 8.9887 13.6514 6.2848 90.00 118.05 90.00
With the nearest neighbours (Å) after each atom.
Space group C2/c (No. 15)
Unique sites:
1 Pm 0.1183 0.1764 0.0818 x8  2 Os 3.02-3.03, 2 Ga 3.15-3.24
2 Pm 0.2124 0.4328 0.3141 x8  2 Os 2.90-2.94, 1 Ga 3.19
3 Ga 0.0000 0.3717 0.7500 x4  8 Pm 3.15-3.25
4 Os 0.0000 0.0009 0.7500 x4  8 Pm 2.90-3.03, 2 Os 3.14